Entry from Alexandria: Sm3Ga2Si2 after structural relaxation (PBE-GGA).

E_tot (eV/f.u.): -36.2
Calculated volume (Å³ per atom): 22.89
Total magnetization (Bohr magnetons per cell): 0.6
Uncorrected formation energy (eV/atom): -0.7311

Cell lengths 4.0196, 4.3421, 18.3573 Å; angles 90.00, 90.00, 90.00 degrees
Space group Immm (No. 71)
Asymmetric unit:
1 Sm 0.0000 0.0000 0.0000
2 Sm 0.0000 0.5000 0.3142
3 Ga 0.0000 0.0000 0.4332
4 Si 0.0000 0.5000 0.1457

Entry from Alexandria: Sm5GaSi2 after structural relaxation (PBE-GGA).

E_tot (eV/f.u.): -42.1
Calculated volume (Å³ per atom): 26.35
Total magnetization (Bohr magnetons per cell): 0.0
Uncorrected formation energy (eV/atom): -0.5773

Cell lengths 7.7163, 7.7163, 14.1603 Å; angles 90.00, 90.00, 90.00 degrees
Space group I4/mcm (No. 140)
Asymmetric unit:
1 Sm 0.0000 0.0000 0.0000
2 Sm 0.1768 0.3232 0.1429
3 Ga 0.0000 0.0000 0.2500
4 Si 0.1171 0.3829 0.5000

Entry from Alexandria: Sm2GaSi2 after structural relaxation (PBE-GGA).

E_tot (eV/f.u.): -26.8
Calculated volume (Å³ per atom): 21.83
Total magnetization (Bohr magnetons per cell): 0.0
Uncorrected formation energy (eV/atom): -0.6918

Cell lengths 10.8998, 4.2192, 10.6279 Å; angles 90.00, 116.70, 90.00 degrees
Space group C2/m (No. 12)
Asymmetric unit:
1 Sm 0.1046 0.0000 0.4072
2 Sm 0.2066 0.5000 0.1472
3 Ga 0.0605 0.5000 0.8078
4 Si 0.0330 0.0000 0.9100
5 Si 0.1205 0.5000 0.6101

Entry from Alexandria: Sm4Ga3Si after structural relaxation (PBE-GGA).

E_tot (eV/f.u.): -38.7
Calculated volume (Å³ per atom): 25.00
Total magnetization (Bohr magnetons per cell): 0.6
Uncorrected formation energy (eV/atom): -0.6623

Cell lengths 4.0580, 4.4331, 11.1159 Å; angles 90.00, 90.00, 90.00 degrees
Space group Pmm2 (No. 25)
Asymmetric unit:
1 Sm 0.0000 0.0000 0.0000
2 Sm 0.0000 0.5000 0.4937
3 Sm 0.5000 0.0000 0.7154
4 Sm 0.5000 0.5000 0.2165
5 Ga 0.0000 0.5000 0.7817
6 Ga 0.5000 0.0000 0.4265
7 Ga 0.5000 0.5000 0.9319
8 Si 0.0000 0.0000 0.2834

Entry from Alexandria: Sm3Ga4Si2 after structural relaxation (PBE-GGA).

E_tot (eV/f.u.): -43.4
Calculated volume (Å³ per atom): 21.06
Total magnetization (Bohr magnetons per cell): 0.0
Uncorrected formation energy (eV/atom): -0.6949

Cell lengths 11.0724, 4.1726, 8.3506 Å; angles 90.00, 100.72, 90.00 degrees
Space group C2/m (No. 12)
Asymmetric unit:
1 Sm 0.0000 0.0000 0.0000
2 Sm 0.1677 0.5000 0.6643
3 Ga 0.0543 0.0000 0.3862
4 Ga 0.2259 0.5000 0.0600
5 Si 0.1099 0.5000 0.2757

Entry from Alexandria: Sm3Ga2Si4 after structural relaxation (PBE-GGA).

E_tot (eV/f.u.): -47.6
Calculated volume (Å³ per atom): 20.46
Total magnetization (Bohr magnetons per cell): 0.0
Uncorrected formation energy (eV/atom): -0.6295

Cell lengths 10.8445, 4.2264, 8.1789 Å; angles 90.00, 100.76, 90.00 degrees
Space group C2/m (No. 12)
Asymmetric unit:
1 Sm 0.0000 0.0000 0.0000
2 Sm 0.1658 0.5000 0.6700
3 Ga 0.1111 0.5000 0.2763
4 Si 0.0580 0.0000 0.3920
5 Si 0.2239 0.5000 0.0493

Entry from Alexandria: Sm3Ga4Si after structural relaxation (PBE-GGA).

E_tot (eV/f.u.): -35.0
Calculated volume (Å³ per atom): 24.40
Total magnetization (Bohr magnetons per cell): 0.0
Uncorrected formation energy (eV/atom): -0.4202

Cell lengths 4.5395, 7.1398, 12.0449 Å; angles 90.00, 90.00, 90.00 degrees
Space group Immm (No. 71)
Asymmetric unit:
1 Sm 0.0000 0.0000 0.0000
2 Sm 0.0000 0.5000 0.1718
3 Ga 0.0000 0.2917 0.3830
4 Si 0.0000 0.0000 0.5000

Entry from Alexandria: TbSmGaSi after structural relaxation (PBE-GGA).

E_tot (eV/f.u.): -20.7
Calculated volume (Å³ per atom): 23.77
Total magnetization (Bohr magnetons per cell): 0.0
Uncorrected formation energy (eV/atom): -0.7339

Cell lengths 3.9973, 4.3625, 10.9066 Å; angles 90.00, 90.00, 90.00 degrees
Space group Amm2 (No. 38)
Asymmetric unit:
1 Tb 0.0000 0.0000 0.0000
2 Sm 0.5000 0.0000 0.7184
3 Ga 0.0000 0.0000 0.2876
4 Si 0.5000 0.0000 0.4355

Entry from Alexandria: Tb2Sm2Ga4Si after structural relaxation (PBE-GGA).

E_tot (eV/f.u.): -39.3
Calculated volume (Å³ per atom): 23.91
Total magnetization (Bohr magnetons per cell): 0.0
Uncorrected formation energy (eV/atom): -0.3370

Cell lengths 6.9986, 6.9986, 8.7857 Å; angles 90.00, 90.00, 90.00 degrees
Space group I4/mmm (No. 139)
Asymmetric unit:
1 Tb 0.0000 0.0000 0.1933
2 Sm 0.0000 0.5000 0.2500
3 Ga 0.2470 0.2470 0.5000
4 Si 0.0000 0.0000 0.5000

Entry from Alexandria: Sm4GaSiTe2 after structural relaxation (PBE-GGA).

E_tot (eV/f.u.): -41.8
Calculated volume (Å³ per atom): 29.12
Total magnetization (Bohr magnetons per cell): 0.0
Uncorrected formation energy (eV/atom): -1.0237

Cell lengths 7.3579, 4.2816, 7.7996 Å; angles 90.00, 108.52, 90.00 degrees
Space group P2/m (No. 10)
Asymmetric unit:
1 Sm 0.2371 0.0000 0.2262
2 Sm 0.2514 0.5000 0.7665
3 Ga 0.5000 0.0000 0.0000
4 Si 0.0000 0.5000 0.0000
5 Te 0.0000 0.0000 0.5000
6 Te 0.5000 0.5000 0.5000

Entry from Alexandria: SmThGaSi after structural relaxation (PBE-GGA).

E_tot (eV/f.u.): -23.2
Calculated volume (Å³ per atom): 24.76
Total magnetization (Bohr magnetons per cell): 0.0
Uncorrected formation energy (eV/atom): -0.6605

Cell lengths 4.0371, 4.4102, 11.1231 Å; angles 90.00, 90.00, 90.00 degrees
Space group Amm2 (No. 38)
Asymmetric unit:
1 Sm 0.0000 0.0000 0.0000
2 Th 0.5000 0.0000 0.2825
3 Ga 0.5000 0.0000 0.5661
4 Si 0.0000 0.0000 0.7164

Entry from Alexandria: SmTmGaSi after structural relaxation (PBE-GGA).

E_tot (eV/f.u.): -20.5
Calculated volume (Å³ per atom): 23.13
Total magnetization (Bohr magnetons per cell): 0.0
Uncorrected formation energy (eV/atom): -0.7235

Cell lengths 3.9695, 4.3235, 10.7836 Å; angles 90.00, 90.00, 90.00 degrees
Space group Amm2 (No. 38)
Asymmetric unit:
1 Sm 0.0000 0.0000 0.0000
2 Tm 0.5000 0.0000 0.2810
3 Ga 0.5000 0.0000 0.5691
4 Si 0.0000 0.0000 0.7190